Material: AlAsW2
Method: DFT, PBE
State: relaxed

Cell: 4.5045 4.5045 4.5045 Å, 60.00 60.00 60.00°
Positions (direct):
As (0.7500, 0.7500, 0.7500)
Al (0.5000, 0.5000, 0.5000)
W (0.0000, 0.0000, 0.0000)
W (0.2500, 0.2500, 0.2500)

Summary:
- ΔH_f (0 K) (eV per formula unit) = 1.3
- total energy (eV for the cell shown) = -33.04
- symmetry = F-43m, No. 216
- calculated volume (Å³ per cell) = 64.63
- density of states at the Fermi level (states/eV per atom) = 0.66
- size of the total moment (Bohr magnetons per cell) = 0.00
- theoretical density (g cm⁻³) = 12.07
- crystal system = cubic